# 1
Crystalline Dy2Si2SnRh5 at its relaxed geometry. Source: Alexandria, functional PBE-GGA.

a b c (Å): 9.7753 9.7753 3.5470
angles (deg): 90.00 90.00 90.00
With the nearest neighbours (Å) after each atom.
Positions (direct):
1 Dy 0.1760 0.3240 0.0000  3 Si 2.80-2.95, 6 Rh 3.01-3.08
2 Dy 0.3240 0.8240 0.0000  3 Si 2.80-2.95, 6 Rh 3.01-3.08
3 Dy 0.6760 0.1760 0.0000  3 Si 2.80-2.95, 6 Rh 3.01-3.08
4 Dy 0.8240 0.6760 0.0000  3 Si 2.80-2.95, 6 Rh 3.01-3.08
5 Si 0.1212 0.6212 0.0000  6 Rh 2.43-2.44
6 Si 0.3788 0.1212 0.0000  6 Rh 2.43-2.44
7 Si 0.6212 0.8788 0.0000  6 Rh 2.43-2.44
8 Si 0.8788 0.3788 0.0000  6 Rh 2.43-2.44
9 Sn 0.0000 0.0000 0.0000  8 Rh 2.85
10 Sn 0.5000 0.5000 0.0000  8 Rh 2.85
11 Rh 0.0000 0.5000 0.5000  4 Si 2.44
12 Rh 0.0696 0.7827 0.5000  2 Si 2.43
13 Rh 0.2173 0.0696 0.5000  2 Si 2.43
14 Rh 0.2827 0.5696 0.5000  2 Si 2.43
15 Rh 0.4304 0.2827 0.5000  2 Si 2.43
16 Rh 0.5000 0.0000 0.5000  4 Si 2.44
17 Rh 0.5696 0.7173 0.5000  2 Si 2.43
18 Rh 0.7173 0.4304 0.5000  2 Si 2.43
19 Rh 0.7827 0.9304 0.5000  2 Si 2.43
20 Rh 0.9304 0.2173 0.5000  2 Si 2.43

Computed properties:
The density of states at the Fermi level comes out at 7.857 states/eV/cell. As for the size of the total moment: 0.0 μB/f.u. The calculation puts the formation energy from raw total energies at -9.624 eV/f.u. The value obtained for the volume is 169.47 Å³/f.u. The calculation puts the raw total energy at -7.0435 eV/atom.


# 2
Crystalline LiPrEr at its relaxed geometry. Source: Alexandria, functional PBE-GGA.

a b c (Å): 6.7197 6.7197 6.7197
angles (deg): 147.75 147.75 46.25
With the nearest neighbours (Å) after each atom.
Positions (direct):
1 Li 0.0000 0.0000 0.0000  4 Er 3.18, 4 Pr 3.31
2 Pr 0.6610 0.6610 0.0000  4 Li 3.31, 4 Er 3.58
3 Er 0.3562 0.3562 0.0000  4 Li 3.18

Computed properties:
The density of states at the Fermi level comes out at 3.571 states/eV/cell. As for the size of the total moment: 0.0 μB/f.u. Its formation enthalpy at 0 K is 8 kJ per mole of atoms. The relative energy among the computed polymorphs is 0.000 eV per atom. The value obtained for the volume is 86.08 Å³/f.u. The calculation puts the raw total energy at -3.6703 eV/atom.


# 3
Crystalline Si2TcNi at its relaxed geometry. Source: Alexandria, functional PBE-GGA.

a b c (Å): 2.7663 4.4516 4.1337
angles (deg): 90.00 90.00 90.00
With the nearest neighbours (Å) after each atom.
Positions (direct):
1 Si 0.0000 0.0000 0.0000  4 Ni 2.44-2.53, 2 Tc 2.53
2 Si 0.5000 0.5000 0.2127  4 Tc 2.48-2.50, 2 Ni 2.50, 6 Si 2.76-2.77
3 Tc 0.0000 0.5000 0.7097  6 Si 2.48-2.53, 2 Tc 2.77
4 Ni 0.5000 0.0000 0.4865  6 Si 2.44-2.53

Computed properties:
The density of states at the Fermi level comes out at 1.794 states/eV/cell. As for the size of the total moment: 0.0 μB/f.u. The calculation puts the formation energy from raw total energies at -1.353 eV/f.u. The value obtained for the volume is 50.90 Å³/f.u. The calculation puts the raw total energy at -7.0865 eV/atom.


# 4
Crystalline SmSi3Ir3 at its relaxed geometry. Source: Alexandria, functional PBE-GGA.

a b c (Å): 7.7557 7.7557 7.7557
angles (deg): 52.50 52.50 52.50
With the nearest neighbours (Å) after each atom.
Positions (direct):
1 Sm 0.1654 0.1654 0.1654  6 Si 3.08-3.11, 6 Ir 3.19-3.22
2 Sm 0.8346 0.8346 0.8346  6 Si 3.08-3.11, 6 Ir 3.19-3.22
3 Si 0.1138 0.6968 0.4041  4 Ir 2.31-2.45
4 Si 0.3032 0.5959 0.8862  4 Ir 2.31-2.45
5 Si 0.4041 0.1138 0.6968  4 Ir 2.31-2.45
6 Si 0.5959 0.8862 0.3032  4 Ir 2.31-2.45
7 Si 0.6968 0.4041 0.1138  4 Ir 2.31-2.45
8 Si 0.8862 0.3032 0.5959  4 Ir 2.31-2.45
9 Ir 0.0226 0.3848 0.7433  4 Si 2.31-2.45
10 Ir 0.2567 0.9774 0.6152  4 Si 2.31-2.45
11 Ir 0.3848 0.7433 0.0226  4 Si 2.31-2.45
12 Ir 0.6152 0.2567 0.9774  4 Si 2.31-2.45
13 Ir 0.7433 0.0226 0.3848  4 Si 2.31-2.45
14 Ir 0.9774 0.6152 0.2567  4 Si 2.31-2.45

Computed properties:
The density of states at the Fermi level comes out at 3.668 states/eV/cell. As for the size of the total moment: 0.0 μB/f.u. The relative energy among the computed polymorphs is 0.000 eV per atom. The calculation puts the formation energy from raw total energies at -4.224 eV/f.u. The value obtained for the volume is 135.89 Å³/f.u. The calculation puts the raw total energy at -7.3994 eV/atom.


# 5
Crystalline ErPaPd4 at its relaxed geometry. Source: Alexandria, functional PBE-GGA.

a b c (Å): 5.4294 5.4294 5.4294
angles (deg): 60.00 60.00 60.00
With the nearest neighbours (Å) after each atom.
Positions (direct):
1 Er 0.0000 0.0000 0.0000  12 Pd 3.18, 4 Pa 3.32
2 Pa 0.7500 0.7500 0.7500  12 Pd 3.18, 4 Er 3.32
3 Pd 0.3749 0.3749 0.3749  6 Pd 2.71-2.72
4 Pd 0.3749 0.3749 0.8753  6 Pd 2.71-2.72
5 Pd 0.3749 0.8753 0.3749  6 Pd 2.71-2.72
6 Pd 0.8753 0.3749 0.3749  6 Pd 2.71-2.72

Computed properties:
The density of states at the Fermi level comes out at 6.711 states/eV/cell. As for the size of the total moment: 0.1 μB/f.u. Its formation enthalpy at 0 K is -60 kJ per mole of atoms. The value obtained for the volume is 113.17 Å³/f.u. The calculation puts the raw total energy at -6.4256 eV/atom.


# 6
Crystalline Ac6Tb3Sm2 at its relaxed geometry. Source: Alexandria, functional PBE-GGA.

a b c (Å): 6.6185 6.6185 12.0632
angles (deg): 95.08 95.08 119.88
With the nearest neighbours (Å) after each atom.
Positions (direct):
1 Ac 0.0855 0.4178 0.7487  2 Sm 3.67-3.69, 3 Tb 3.71-3.72, 6 Ac 3.81-3.84
2 Ac 0.2465 0.2465 0.2545  2 Sm 3.68, 3 Tb 3.74-3.75, 6 Ac 3.81-3.84
3 Ac 0.4178 0.0855 0.7487  2 Sm 3.67-3.69, 3 Tb 3.71-3.72, 6 Ac 3.81-3.84
4 Ac 0.5822 0.9145 0.2513  2 Sm 3.67-3.69, 3 Tb 3.71-3.72, 6 Ac 3.81-3.84
5 Ac 0.7535 0.7535 0.7455  2 Sm 3.68, 3 Tb 3.74-3.75, 6 Ac 3.81-3.84
6 Ac 0.9145 0.5822 0.2513  2 Sm 3.67-3.69, 3 Tb 3.71-3.72, 6 Ac 3.81-3.84
7 Tb 0.1662 0.8338 0.0000  6 Ac 3.71-3.74, 6 Tb 3.81-3.83
8 Tb 0.5000 0.5000 0.0000  6 Ac 3.71-3.75, 6 Tb 3.82
9 Tb 0.8338 0.1662 0.0000  6 Ac 3.71-3.74, 6 Tb 3.81-3.83
10 Sm 0.3313 0.6687 0.5000  6 Ac 3.67-3.69, 3 Sm 3.80-3.87
11 Sm 0.6687 0.3313 0.5000  6 Ac 3.67-3.69, 3 Sm 3.80-3.87

Computed properties:
The density of states at the Fermi level comes out at 14.511 states/eV/cell. As for the size of the total moment: 0.0 μB/f.u. Its formation enthalpy at 0 K is 18 kJ per mole of atoms. The value obtained for the volume is 450.98 Å³/f.u. The calculation puts the raw total energy at -4.1742 eV/atom.


# 7
Crystalline RbScBr at its relaxed geometry. Source: Alexandria, functional PBE-GGA.

a b c (Å): 3.8652 5.3850 10.1285
angles (deg): 90.00 100.90 90.00
With the nearest neighbours (Å) after each atom.
Positions (direct):
1 Rb 0.0859 0.2500 0.1667  4 Br 3.31-3.32
2 Rb 0.9141 0.7500 0.8333  4 Br 3.31-3.32
3 Sc 0.2775 0.2500 0.5560  1 Br 2.81
4 Sc 0.7225 0.7500 0.4440  1 Br 2.81
5 Br 0.4170 0.2500 0.8388  1 Sc 2.81
6 Br 0.5830 0.7500 0.1612  1 Sc 2.81

Computed properties:
The density of states at the Fermi level comes out at 7.241 states/eV/cell. As for the size of the total moment: 1.2 μB/f.u. The relative energy among the computed polymorphs is 0.000 eV per atom. The calculation puts the formation energy from raw total energies at -1.989 eV/f.u. The value obtained for the volume is 103.51 Å³/f.u. The calculation puts the raw total energy at -3.6536 eV/atom.


# 8
Crystalline ReAg2Hg at its relaxed geometry. Source: Alexandria, functional PBE-GGA.

a b c (Å): 2.7576 4.9578 5.2226
angles (deg): 90.00 92.39 90.00
With the nearest neighbours (Å) after each atom.
Positions (direct):
1 Re 0.0000 0.0000 0.0000  2 Re 2.76, 4 Ag 2.89, 4 Hg 2.90-3.00
2 Ag 0.2733 0.5000 0.7618  5 Ag 2.74-3.05, 2 Re 2.89, 2 Hg 2.91
3 Ag 0.7267 0.5000 0.2382  5 Ag 2.74-3.05, 2 Re 2.89, 2 Hg 2.91
4 Hg 0.5000 0.0000 0.5000  2 Hg 2.76, 4 Re 2.90-3.00, 4 Ag 2.91

Computed properties:
The density of states at the Fermi level comes out at 3.485 states/eV/cell. As for the size of the total moment: 0.0 μB/f.u. Its formation enthalpy at 0 K is 67 kJ per mole of atoms. The value obtained for the volume is 71.34 Å³/f.u. The calculation puts the raw total energy at -3.9223 eV/atom.


# 9
Crystalline Pa2GaS6 at its relaxed geometry. Source: Alexandria, functional PBE-GGA.

a b c (Å): 6.0983 6.0983 12.1488
angles (deg): 90.00 90.00 90.00
With the nearest neighbours (Å) after each atom.
Positions (direct):
1 Pa 0.0000 0.0000 0.1672  6 S 2.64-2.66
2 Pa 0.0000 0.0000 0.8328  6 S 2.64-2.66
3 Pa 0.5000 0.5000 0.3328  6 S 2.64-2.66
4 Pa 0.5000 0.5000 0.6672  6 S 2.64-2.66
5 Ga 0.0000 0.0000 0.5000  6 S 2.56-2.62
6 Ga 0.5000 0.5000 0.0000  6 S 2.56-2.62
7 S 0.1914 0.1914 0.3394  1 Ga 2.56, 2 Pa 2.66
8 S 0.1914 0.1914 0.6606  1 Ga 2.56, 2 Pa 2.66
9 S 0.1961 0.1961 0.0000  1 Ga 2.62, 2 Pa 2.64
10 S 0.3039 0.6961 0.5000  1 Ga 2.62, 2 Pa 2.64
11 S 0.3086 0.6914 0.1606  1 Ga 2.56, 2 Pa 2.66
12 S 0.3086 0.6914 0.8394  1 Ga 2.56, 2 Pa 2.66
13 S 0.6914 0.3086 0.1606  1 Ga 2.56, 2 Pa 2.66
14 S 0.6914 0.3086 0.8394  1 Ga 2.56, 2 Pa 2.66
15 S 0.6961 0.3039 0.5000  1 Ga 2.62, 2 Pa 2.64
16 S 0.8039 0.8039 0.0000  1 Ga 2.62, 2 Pa 2.64
17 S 0.8086 0.8086 0.3394  1 Ga 2.56, 2 Pa 2.66
18 S 0.8086 0.8086 0.6606  1 Ga 2.56, 2 Pa 2.66

Computed properties:
The density of states at the Fermi level comes out at 8.143 states/eV/cell. As for the size of the total moment: 0.0 μB/f.u. The calculation puts the formation energy from raw total energies at -10.822 eV/f.u. The value obtained for the volume is 225.90 Å³/f.u. The calculation puts the raw total energy at -6.4006 eV/atom.


# 10
Crystalline Sm6ZnHg2 at its relaxed geometry. Source: Alexandria, functional PBE-GGA.

a b c (Å): 8.8936 8.8936 5.1365
angles (deg): 106.66 106.66 48.53
With the nearest neighbours (Å) after each atom.
Positions (direct):
1 Sm 0.0819 0.5912 0.3370  1 Zn 3.09, 3 Hg 3.17
2 Sm 0.2397 0.7603 0.0000  2 Zn 3.11, 2 Hg 3.19
3 Sm 0.4088 0.9181 0.6630  1 Zn 3.09, 3 Hg 3.17
4 Sm 0.5912 0.0819 0.3370  1 Zn 3.09, 3 Hg 3.17
5 Sm 0.7603 0.2397 0.0000  2 Zn 3.11, 2 Hg 3.19
6 Sm 0.9181 0.4088 0.6630  1 Zn 3.09, 3 Hg 3.17
7 Zn 0.0000 0.0000 0.5000  8 Sm 3.09-3.11
8 Hg 0.3336 0.3336 0.8341  8 Sm 3.17-3.19
9 Hg 0.6664 0.6664 0.1659  8 Sm 3.17-3.19

Computed properties:
The density of states at the Fermi level comes out at 15.100 states/eV/cell. As for the size of the total moment: 0.0 μB/f.u. Its formation enthalpy at 0 K is -5 kJ per mole of atoms. The value obtained for the volume is 288.96 Å³/f.u. The calculation puts the raw total energy at -3.4087 eV/atom.


# 11
Crystalline Li2CrAu at its relaxed geometry. Source: Alexandria, functional PBE-GGA.

a b c (Å): 9.0995 9.0995 9.0995
angles (deg): 18.68 18.68 18.68
With the nearest neighbours (Å) after each atom.
Positions (direct):
1 Li 0.2450 0.2450 0.2450  3 Au 2.70, 3 Cr 2.92, 6 Li 2.95
2 Li 0.7550 0.7550 0.7550  3 Au 2.70, 3 Cr 2.92, 6 Li 2.95
3 Cr 0.0000 0.0000 0.0000  6 Li 2.92, 6 Cr 2.95
4 Au 0.5000 0.5000 0.5000  6 Li 2.70, 6 Au 2.95

Computed properties:
The density of states at the Fermi level comes out at 3.000 states/eV/cell. As for the size of the total moment: 4.1 μB/f.u. Its formation enthalpy at 0 K is 18 kJ per mole of atoms. The relative energy among the computed polymorphs is 0.220 eV per atom. The value obtained for the volume is 67.55 Å³/f.u. The calculation puts the raw total energy at -3.9909 eV/atom.


# 12
Crystalline Lu2ThMg at its relaxed geometry. Source: Alexandria, functional PBE-GGA.

a b c (Å): 3.5471 3.5471 9.1173
angles (deg): 90.00 90.00 90.00
With the nearest neighbours (Å) after each atom.
Positions (direct):
1 Lu 0.0000 0.0000 0.2382  4 Mg 3.32, 4 Th 3.46, 4 Lu 3.55
2 Lu 0.0000 0.0000 0.7618  4 Mg 3.32, 4 Th 3.46, 4 Lu 3.55
3 Th 0.5000 0.5000 0.5000  8 Lu 3.46, 4 Th 3.55
4 Mg 0.5000 0.5000 0.0000  8 Lu 3.32, 4 Mg 3.55

Computed properties:
The density of states at the Fermi level comes out at 5.780 states/eV/cell. As for the size of the total moment: 0.0 μB/f.u. Its formation enthalpy at 0 K is -3 kJ per mole of atoms. The relative energy among the computed polymorphs is 0.000 eV per atom. The value obtained for the volume is 114.71 Å³/f.u. The calculation puts the raw total energy at -4.5412 eV/atom.


Q: Which of these has the lowest volume?
A: Si2TcNi